[1]
DFT (PBE) results for a relaxed structure of BaY2Zn.

Lattice parameters (Å, degrees): 6.981 6.981 6.981 149.24 130.31 59.59
Element x y z (fractional)
Ba  0.000  0.000  0.000
Y  0.296  0.796  0.500
Y  0.704  0.204  0.500
Zn  0.500  0.500  0.000

Values from the calculation:
* uncorrected energy: -16.2 eV per cell
* volume: 131.6 Å³ per cell
* calculated formation energy: -0.019 eV/atom
* space group: Immm, No. 71
* size of the total moment: 0.001 μB/cell

---

[2]
DFT (PBE) results for a relaxed structure of Ba4YZn.

Lattice parameters (Å, degrees): 7.475 7.475 7.475 60.00 60.00 60.00
Element x y z (fractional)
Ba  0.125  0.125  0.125
Ba  0.125  0.125  0.626
Ba  0.125  0.626  0.125
Ba  0.626  0.125  0.125
Y  0.750  0.750  0.750
Zn  0.500  0.500  0.500

Values from the calculation:
* uncorrected energy: -11.9 eV per cell
* volume: 295.4 Å³ per cell
* calculated formation energy: 0.581 eV/atom
* space group: F-43m, No. 216
* size of the total moment: 2.049 μB/cell

---

[3]
DFT (PBE) results for a relaxed structure of Ba2Y2Zn.

Lattice parameters (Å, degrees): 7.906 7.906 6.279 90.00 90.00 90.00
Element x y z (fractional)
Ba  0.173  0.327  0.000
Ba  0.327  0.827  0.000
Ba  0.673  0.173  0.000
Ba  0.827  0.673  0.000
Y  0.154  0.654  0.500
Y  0.346  0.154  0.500
Y  0.654  0.846  0.500
Y  0.846  0.346  0.500
Zn  0.000  0.000  0.500
Zn  0.500  0.500  0.500

Values from the calculation:
* uncorrected energy: -34.0 eV per cell
* volume: 392.5 Å³ per cell
* calculated formation energy: 0.208 eV/atom
* space group: P4/mbm, No. 127
* size of the total moment: 1.364 μB/cell

---

[4]
DFT (PBE) results for a relaxed structure of BaY2Zn.

Lattice parameters (Å, degrees): 3.824 3.824 9.142 90.00 90.00 90.00
Element x y z (fractional)
Ba  0.000  0.000  0.000
Y  0.000  0.000  0.591
Y  0.500  0.500  0.346
Zn  0.500  0.500  0.740

Values from the calculation:
* uncorrected energy: -16.3 eV per cell
* volume: 133.7 Å³ per cell
* calculated formation energy: -0.046 eV/atom
* space group: P4mm, No. 99
* size of the total moment: 1.078 μB/cell

---

[5]
DFT (PBE) results for a relaxed structure of BaY2Zn.

Lattice parameters (Å, degrees): 6.972 6.972 6.972 148.09 133.77 57.28
Element x y z (fractional)
Ba  0.000  0.000  0.000
Y  0.291  0.791  0.500
Y  0.591  0.591  0.000
Zn  0.770  0.270  0.500

Values from the calculation:
* uncorrected energy: -15.8 eV per cell
* volume: 128.4 Å³ per cell
* calculated formation energy: 0.077 eV/atom
* space group: Imm2, No. 44
* size of the total moment: 0.000 μB/cell

---

[6]
DFT (PBE) results for a relaxed structure of BaYZn.

Lattice parameters (Å, degrees): 5.372 5.372 5.372 60.00 60.00 60.00
Element x y z (fractional)
Ba  0.000  0.000  0.000
Y  0.500  0.500  0.500
Zn  0.750  0.750  0.750

Values from the calculation:
* uncorrected energy: -9.0 eV per cell
* volume: 109.6 Å³ per cell
* E above lowest polymorph: 302 meV per atom
* calculated formation energy: 0.211 eV/atom
* space group: F-43m, No. 216
* size of the total moment: 0.000 μB/cell

---

Which formula does entry 2 have? Ba4YZn

---

Look up the calculated formation energy of the fifth one. 0.077 eV/atom